[1]
An optimized crystal structure of BaBeNi3. Source: Alexandria via LeMat-Bulk, functional PBE.

Summary:
Magnetic moment ... 0.00 μB/atom
ρ ... 4.6 Mg/m³
Volume ... 23.41 Å³ per atom
DFT total energy ... -12.4 eV per cell
Energy relative to the lowest polymorph listed for this composition ... 1900 meV per atom
Symmetry ... Pm-3m (221)
DFT formation energy ... 2.122 eV per atom

Cell: 4.892 4.892 4.892 Å, 90.00 90.00 90.00°
Sites, in units of the cell vectors:
Ba1 0.000 0.000 0.000
Be1 0.500 0.500 0.500
Ni1 0.000 0.000 0.500
Ni2 0.000 0.500 0.000
Ni3 0.500 0.000 0.000

[2]
An optimized crystal structure of MoOs3. Source: Alexandria via LeMat-Bulk, functional PBE.

Summary:
Magnetic moment ... 0.00 μB/atom
ρ ... 18.5 Mg/m³
Volume ... 14.98 Å³ per atom
DFT total energy ... -42.2 eV per cell
Symmetry ... R-3m (166)
DFT formation energy ... 0.577 eV per atom

Cell: 5.143 5.143 5.143 Å, 117.01 117.01 117.01°
Sites, in units of the cell vectors:
Mo1 0.000 0.000 0.000
Os1 0.000 0.500 0.500
Os2 0.500 0.000 0.500
Os3 0.500 0.500 0.000

- Number 1 is which compound?
  BaBeNi3

- The lowest volume belongs to which entry?
  MoOs3

- Look up the DFT formation energy of the first one.
  2.122 eV per atom

- Which value of DFT formation energy does entry 1 give?
  2.122 eV per atom